(1)
The following is a DFT calculation (GGA-PBEsol) of a relaxed structure of Zr2TlHg.

Cell: 3.155 5.196 5.196 Å, 90.00 89.99 90.00°
Fractional positions:
Zr: 0.875 0.500 0.373
Tl: 0.375 0.500 0.873
Zr: 0.875 0.000 0.877
Hg: 0.375 0.000 0.377

**Energy of formation**: -0.181 eV per atom
**Crystal system**: orthorhombic
**SG**: Pmm2, No. 25
**Total magnetic moment**: 0.00 μB per formula unit
**Calculated total energy**: -22.10 eV for the cell shown
**DOS(E_F)**: 2.2 states/eV/cell

(2)
The following is a DFT calculation (GGA-PBEsol) of a relaxed structure of Zr2TlHg.

Cell: 5.021 5.021 5.021 Å, 60.00 60.00 60.00°
Site moments in Bohr magnetons follow the coordinates.
Fractional positions:
Hg: 0.500 0.500 0.500  0.03
Tl: 0.250 0.250 0.250  0.01
Zr: 0.750 0.750 0.750  0.74
Zr: 0.000 0.000 0.000  0.76

**Energy of formation**: 0.314 eV per atom
**Crystal system**: cubic
**SG**: F-43m, No. 216
**Total magnetic moment**: 2.35 μB per formula unit
**Calculated total energy**: -20.12 eV for the cell shown
**DOS(E_F)**: 4.7 states/eV/cell

(3)
The following is a DFT calculation (GGA-PBEsol) of a relaxed structure of Zr2TlHg.

Cell: 3.174 4.222 6.299 Å, 90.00 90.00 90.00°
Fractional positions:
Zr: 0.000 0.000 0.754
Hg: 0.500 0.500 0.000
Tl: 0.500 0.500 0.500
Zr: 0.000 0.000 0.246

**Energy of formation**: -0.243 eV per atom
**Crystal system**: orthorhombic
**SG**: Pmmm, No. 47
**Total magnetic moment**: 0.00 μB per formula unit
**Calculated total energy**: -22.35 eV for the cell shown
**DOS(E_F)**: 3.6 states/eV/cell